The following is a DFT calculation (PBE-GGA) of a relaxed Tm4CdAgHg2 crystal.

Structure (CIF):
```
data_Tm4CdAgHg2
_chemical_formula_sum 'Tm4 Cd1 Ag1 Hg2'
_cell_length_a 8.952
_cell_length_b 8.952
_cell_length_c 8.952
_cell_angle_alpha 33.56
_cell_angle_beta 33.56
_cell_angle_gamma 33.56
_symmetry_space_group_name_H-M 'P 1'
_symmetry_Int_Tables_number 1
loop_
_symmetry_equiv_pos_as_xyz
'x,y,z'
loop_
_atom_site_label
_atom_site_type_symbol
_atom_site_fract_x
_atom_site_fract_y
_atom_site_fract_z
_atom_site_occupancy
Tm1 Tm 0.122 0.122 0.122 1
Tm2 Tm 0.373 0.373 0.373 1
Tm3 Tm 0.627 0.627 0.627 1
Tm4 Tm 0.878 0.878 0.878 1
Cd1 Cd 0.500 0.500 0.500 1
Ag1 Ag 0.000 0.000 0.000 1
Hg1 Hg 0.247 0.247 0.247 1
Hg2 Hg 0.753 0.753 0.753 1
```

E_tot in eV/atom: -3.191
Volume in Å³ per cell: 195.27
SG: R-3m (166)

=====

The following is a DFT calculation (PBE-GGA) of a relaxed Tb6NdDy3Th2 crystal.

Structure (CIF):
```
data_Tb6NdDy3Th2
_chemical_formula_sum 'Tb6 Nd1 Dy3 Th2'
_cell_length_a 6.192
_cell_length_b 6.192
_cell_length_c 11.801
_cell_angle_alpha 95.02
_cell_angle_beta 95.02
_cell_angle_gamma 119.93
_symmetry_space_group_name_H-M 'P 1'
_symmetry_Int_Tables_number 1
loop_
_symmetry_equiv_pos_as_xyz
'x,y,z'
loop_
_atom_site_label
_atom_site_type_symbol
_atom_site_fract_x
_atom_site_fract_y
_atom_site_fract_z
_atom_site_occupancy
Tb1 Tb 0.078 0.416 0.751 1
Tb2 Tb 0.246 0.246 0.249 1
Tb3 Tb 0.416 0.078 0.751 1
Tb4 Tb 0.584 0.922 0.249 1
Tb5 Tb 0.754 0.754 0.751 1
Tb6 Tb 0.922 0.584 0.249 1
Nd1 Nd 0.500 0.500 0.000 1
Dy1 Dy 0.000 0.000 0.500 1
Dy2 Dy 0.334 0.666 0.500 1
Dy3 Dy 0.666 0.334 0.500 1
Th1 Th 0.167 0.833 0.000 1
Th2 Th 0.833 0.167 0.000 1
```

E_tot in eV/atom: -5.068
Volume in Å³ per cell: 386.01
SG: C2/m (12)

=====

The following is a DFT calculation (PBE-GGA) of a relaxed AlAg2Pb crystal.

Structure (CIF):
```
data_AlAg2Pb
_chemical_formula_sum 'Al1 Ag2 Pb1'
_cell_length_a 5.393
_cell_length_b 5.393
_cell_length_c 5.393
_cell_angle_alpha 132.66
_cell_angle_beta 132.66
_cell_angle_gamma 69.19
_symmetry_space_group_name_H-M 'P 1'
_symmetry_Int_Tables_number 1
loop_
_symmetry_equiv_pos_as_xyz
'x,y,z'
loop_
_atom_site_label
_atom_site_type_symbol
_atom_site_fract_x
_atom_site_fract_y
_atom_site_fract_z
_atom_site_occupancy
Al1 Al 0.000 0.000 0.000 1
Ag1 Ag 0.500 0.500 0.000 1
Ag2 Ag 0.750 0.250 0.500 1
Pb1 Pb 0.250 0.750 0.500 1
```

E_tot in eV/atom: -3.127
Volume in Å³ per cell: 83.26
SG: I-4m2 (119)

=====

The following is a DFT calculation (PBE-GGA) of a relaxed Ca4Pa3OsN8 crystal.

Structure (CIF):
```
data_Ca4Pa3OsN8
_chemical_formula_sum 'Ca4 Pa3 Os1 N8'
_cell_length_a 6.952
_cell_length_b 6.952
_cell_length_c 6.952
_cell_angle_alpha 59.09
_cell_angle_beta 59.09
_cell_angle_gamma 59.09
_symmetry_space_group_name_H-M 'P 1'
_symmetry_Int_Tables_number 1
loop_
_symmetry_equiv_pos_as_xyz
'x,y,z'
loop_
_atom_site_label
_atom_site_type_symbol
_atom_site_fract_x
_atom_site_fract_y
_atom_site_fract_z
_atom_site_occupancy
Ca1 Ca 0.000 0.000 0.000 1
Ca2 Ca 0.000 0.500 0.500 1
Ca3 Ca 0.500 0.000 0.500 1
Ca4 Ca 0.500 0.500 0.000 1
Pa1 Pa 0.000 0.000 0.500 1
Pa2 Pa 0.000 0.500 0.000 1
Pa3 Pa 0.500 0.000 0.000 1
Os1 Os 0.500 0.500 0.500 1
N1 N 0.235 0.743 0.743 1
N2 N 0.241 0.241 0.241 1
N3 N 0.257 0.257 0.765 1
N4 N 0.257 0.765 0.257 1
N5 N 0.743 0.235 0.743 1
N6 N 0.743 0.743 0.235 1
N7 N 0.759 0.759 0.759 1
N8 N 0.765 0.257 0.257 1
```

E_tot in eV/atom: -8.307
Volume in Å³ per cell: 232.68
Formation energy from raw total energies in eV per atom: -1.1619
SG: R-3m (166)

=====

The following is a DFT calculation (PBE-GGA) of a relaxed LiCe2Ni3Ge4 crystal.

Structure (CIF):
```
data_LiCe2Ni3Ge4
_chemical_formula_sum 'Li1 Ce2 Ni3 Ge4'
_cell_length_a 4.177
_cell_length_b 4.177
_cell_length_c 9.669
_cell_angle_alpha 90.00
_cell_angle_beta 90.00
_cell_angle_gamma 90.00
_symmetry_space_group_name_H-M 'P 1'
_symmetry_Int_Tables_number 1
loop_
_symmetry_equiv_pos_as_xyz
'x,y,z'
loop_
_atom_site_label
_atom_site_type_symbol
_atom_site_fract_x
_atom_site_fract_y
_atom_site_fract_z
_atom_site_occupancy
Li1 Li 0.000 0.000 0.000 1
Ce1 Ce 0.000 0.500 0.751 1
Ce2 Ce 0.500 0.000 0.249 1
Ni1 Ni 0.000 0.500 0.378 1
Ni2 Ni 0.500 0.000 0.622 1
Ni3 Ni 0.500 0.500 0.000 1
Ge1 Ge 0.000 0.000 0.500 1
Ge2 Ge 0.000 0.500 0.134 1
Ge3 Ge 0.500 0.000 0.866 1
Ge4 Ge 0.500 0.500 0.500 1
```

E_tot in eV/atom: -5.614
Volume in Å³ per cell: 168.69
SG: P-4m2 (115)

=====

The following is a DFT calculation (PBE-GGA) of a relaxed TlCd2Ga crystal.

Structure (CIF):
```
data_TlCd2Ga
_chemical_formula_sum 'Tl2 Cd4 Ga2'
_cell_length_a 11.183
_cell_length_b 11.183
_cell_length_c 11.183
_cell_angle_alpha 157.60
_cell_angle_beta 157.60
_cell_angle_gamma 31.89
_symmetry_space_group_name_H-M 'P 1'
_symmetry_Int_Tables_number 1
loop_
_symmetry_equiv_pos_as_xyz
'x,y,z'
loop_
_atom_site_label
_atom_site_type_symbol
_atom_site_fract_x
_atom_site_fract_y
_atom_site_fract_z
_atom_site_occupancy
Tl1 Tl 0.000 0.000 0.000 1
Tl2 Tl 0.750 0.250 0.500 1
Cd1 Cd 0.138 0.625 0.013 1
Cd2 Cd 0.375 0.388 0.513 1
Cd3 Cd 0.612 0.125 0.987 1
Cd4 Cd 0.875 0.862 0.487 1
Ga1 Ga 0.250 0.750 0.500 1
Ga2 Ga 0.500 0.500 0.000 1
```

E_tot in eV/atom: -1.677
Volume in Å³ per cell: 202.98
SG: I-42d (122)

=====

The following is a DFT calculation (PBE-GGA) of a relaxed Sr4YW crystal.

Structure (CIF):
```
data_Sr4YW
_chemical_formula_sum 'Sr4 Y1 W1'
_cell_length_a 6.944
_cell_length_b 6.944
_cell_length_c 6.944
_cell_angle_alpha 60.00
_cell_angle_beta 60.00
_cell_angle_gamma 60.00
_symmetry_space_group_name_H-M 'P 1'
_symmetry_Int_Tables_number 1
loop_
_symmetry_equiv_pos_as_xyz
'x,y,z'
loop_
_atom_site_label
_atom_site_type_symbol
_atom_site_fract_x
_atom_site_fract_y
_atom_site_fract_z
_atom_site_occupancy
Sr1 Sr 0.125 0.125 0.125 1
Sr2 Sr 0.125 0.125 0.626 1
Sr3 Sr 0.125 0.626 0.125 1
Sr4 Sr 0.626 0.125 0.125 1
Y1 Y 0.500 0.500 0.500 1
W1 W 0.750 0.750 0.750 1
```

E_tot in eV/atom: -3.098
Volume in Å³ per cell: 236.75
SG: F-43m (216)

=====

The following is a DFT calculation (PBE-GGA) of a relaxed RbAl2NO2 crystal.

Structure (CIF):
```
data_RbAl2NO2
_chemical_formula_sum 'Rb2 Al4 N2 O4'
_cell_length_a 6.572
_cell_length_b 5.008
_cell_length_c 7.200
_cell_angle_alpha 90.00
_cell_angle_beta 104.10
_cell_angle_gamma 90.00
_symmetry_space_group_name_H-M 'P 1'
_symmetry_Int_Tables_number 1
loop_
_symmetry_equiv_pos_as_xyz
'x,y,z'
loop_
_atom_site_label
_atom_site_type_symbol
_atom_site_fract_x
_atom_site_fract_y
_atom_site_fract_z
_atom_site_occupancy
Rb1 Rb 0.169 0.250 0.343 1
Rb2 Rb 0.831 0.750 0.657 1
Al1 Al 0.375 0.001 0.835 1
Al2 Al 0.375 0.499 0.835 1
Al3 Al 0.625 0.501 0.165 1
Al4 Al 0.625 0.999 0.165 1
N1 N 0.411 0.750 0.044 1
N2 N 0.589 0.250 0.956 1
O1 O 0.182 0.250 0.754 1
O2 O 0.379 0.750 0.662 1
O3 O 0.621 0.250 0.338 1
O4 O 0.818 0.750 0.246 1
```

E_tot in eV/atom: -6.322
Volume in Å³ per cell: 229.84
Formation energy from raw total energies in eV per atom: -1.8733
SG: P2_1/m (11)

=====

The following is a DFT calculation (PBE-GGA) of a relaxed Ca3Nd2DyTe6 crystal.

Structure (CIF):
```
data_Ca3Nd2DyTe6
_chemical_formula_sum 'Ca3 Nd2 Dy1 Te6'
_cell_length_a 7.688
_cell_length_b 7.688
_cell_length_c 7.854
_cell_angle_alpha 99.42
_cell_angle_beta 99.42
_cell_angle_gamma 119.93
_symmetry_space_group_name_H-M 'P 1'
_symmetry_Int_Tables_number 1
loop_
_symmetry_equiv_pos_as_xyz
'x,y,z'
loop_
_atom_site_label
_atom_site_type_symbol
_atom_site_fract_x
_atom_site_fract_y
_atom_site_fract_z
_atom_site_occupancy
Ca1 Ca 0.000 0.000 0.000 1
Ca2 Ca 0.330 0.670 0.000 1
Ca3 Ca 0.670 0.330 0.000 1
Nd1 Nd 0.165 0.835 0.500 1
Nd2 Nd 0.835 0.165 0.500 1
Dy1 Dy 0.500 0.500 0.500 1
Te1 Te 0.091 0.417 0.249 1
Te2 Te 0.259 0.259 0.753 1
Te3 Te 0.417 0.091 0.249 1
Te4 Te 0.583 0.909 0.751 1
Te5 Te 0.741 0.741 0.247 1
Te6 Te 0.909 0.583 0.751 1
```

E_tot in eV/atom: -4.742
Volume in Å³ per cell: 380.15
Formation energy from raw total energies in eV per atom: -1.4930
SG: C2/m (12)

=====

The following is a DFT calculation (PBE-GGA) of a relaxed Li3Pr2Cd2 crystal.

Structure (CIF):
```
data_Li3Pr2Cd2
_chemical_formula_sum 'Li3 Pr2 Cd2'
_cell_length_a 6.041
_cell_length_b 6.041
_cell_length_c 6.950
_cell_angle_alpha 110.51
_cell_angle_beta 110.51
_cell_angle_gamma 47.88
_symmetry_space_group_name_H-M 'P 1'
_symmetry_Int_Tables_number 1
loop_
_symmetry_equiv_pos_as_xyz
'x,y,z'
loop_
_atom_site_label
_atom_site_type_symbol
_atom_site_fract_x
_atom_site_fract_y
_atom_site_fract_z
_atom_site_occupancy
Li1 Li 0.000 0.000 0.000 1
Li2 Li 0.111 0.111 0.432 1
Li3 Li 0.889 0.889 0.568 1
Pr1 Pr 0.350 0.350 0.231 1
Pr2 Pr 0.650 0.650 0.769 1
Cd1 Cd 0.358 0.358 0.766 1
Cd2 Cd 0.642 0.642 0.234 1
```

E_tot in eV/atom: -2.596
Volume in Å³ per cell: 173.72
SG: C2/m (12)

=====

The following is a DFT calculation (PBE-GGA) of a relaxed Tb4Co3Au crystal.

Structure (CIF):
```
data_Tb4Co3Au
_chemical_formula_sum 'Tb4 Co3 Au1'
_cell_length_a 4.028
_cell_length_b 4.058
_cell_length_c 10.512
_cell_angle_alpha 90.00
_cell_angle_beta 90.00
_cell_angle_gamma 90.00
_symmetry_space_group_name_H-M 'P 1'
_symmetry_Int_Tables_number 1
loop_
_symmetry_equiv_pos_as_xyz
'x,y,z'
loop_
_atom_site_label
_atom_site_type_symbol
_atom_site_fract_x
_atom_site_fract_y
_atom_site_fract_z
_atom_site_occupancy
Tb1 Tb 0.000 0.000 0.000 1
Tb2 Tb 0.000 0.500 0.480 1
Tb3 Tb 0.500 0.000 0.700 1
Tb4 Tb 0.500 0.500 0.204 1
Co1 Co 0.000 0.000 0.296 1
Co2 Co 0.500 0.000 0.400 1
Co3 Co 0.500 0.500 0.936 1
Au1 Au 0.000 0.500 0.775 1
```

E_tot in eV/atom: -5.699
Volume in Å³ per cell: 171.83
SG: Pmm2 (25)

=====

The following is a DFT calculation (PBE-GGA) of a relaxed NaNd2Hg crystal.

Structure (CIF):
```
data_NaNd2Hg
_chemical_formula_sum 'Na1 Nd2 Hg1'
_cell_length_a 3.861
_cell_length_b 3.861
_cell_length_c 8.477
_cell_angle_alpha 90.00
_cell_angle_beta 90.00
_cell_angle_gamma 90.00
_symmetry_space_group_name_H-M 'P 1'
_symmetry_Int_Tables_number 1
loop_
_symmetry_equiv_pos_as_xyz
'x,y,z'
loop_
_atom_site_label
_atom_site_type_symbol
_atom_site_fract_x
_atom_site_fract_y
_atom_site_fract_z
_atom_site_occupancy
Na1 Na 0.000 0.000 0.000 1
Nd1 Nd 0.500 0.500 0.285 1
Nd2 Nd 0.500 0.500 0.715 1
Hg1 Hg 0.000 0.000 0.500 1
```

E_tot in eV/atom: -2.886
Volume in Å³ per cell: 126.38
SG: P4/mmm (123)